The following is a DFT calculation (PBE-GGA) of a relaxed structure of CsKSb2I.

```
CsKSb2I
1.0
6.364 0.000 0.000
0.000 6.364 0.000
0.000 0.000 6.774
Sb K Cs I
2 1 1 1
direct
0.000 0.500 0.000
0.500 0.000 0.000
0.000 0.000 0.000
0.500 0.500 0.500
0.000 0.000 0.500
```

Crystal system = tetragonal
DOS at the Fermi energy = 3.2 states/eV per cell
Energy relative to the elements, uncorrected = 0.137 eV/atom
Electronic total energy = -2.21 eV per atom
Energy relative to the lowest polymorph listed for this composition = 0.0 meV per atom

***

The following is a DFT calculation (PBE-GGA) of a relaxed structure of CaP2S.

```
CaP2S
1.0
-4.159 -5.476 -1.914
4.917 -4.577 2.413
-1.050 -4.986 3.238
P Ca S
4 2 2
direct
0.547 0.125 0.250
0.375 0.453 0.750
0.203 0.625 0.250
0.875 0.797 0.750
0.000 0.000 0.000
0.750 0.250 0.500
0.500 0.500 0.000
0.250 0.750 0.500
```

Crystal system = tetragonal
DOS at the Fermi energy = 9.2 states/eV per cell
Energy relative to the elements, uncorrected = 0.016 eV/atom
Electronic total energy = -4.22 eV per atom
Energy relative to the lowest polymorph listed for this composition = 0.0 meV per atom

***

The following is a DFT calculation (PBE-GGA) of a relaxed structure of Tb8Te4IrSe3.

```
Tb8Te4IrSe3
1.0
8.483 0.000 0.000
0.000 8.578 0.061
-4.241 -4.238 6.001
Se Tb Ir Te
3 8 1 4
direct
0.500 0.500 0.500
0.000 0.500 0.500
0.500 0.500 0.000
0.758 0.715 0.987
0.258 0.275 0.516
0.742 0.725 0.484
0.229 0.715 0.457
0.229 0.715 0.987
0.242 0.285 0.013
0.771 0.285 0.543
0.771 0.285 0.013
0.000 0.500 0.000
0.000 0.000 0.000
0.500 0.000 0.000
0.500 0.000 0.500
0.000 0.000 0.500
```

Crystal system = trigonal
DOS at the Fermi energy = 9.9 states/eV per cell
Energy relative to the elements, uncorrected = -1.467 eV/atom
Electronic total energy = -5.77 eV per atom

***

The following is a DFT calculation (PBE-GGA) of a relaxed structure of AcTb2Nd12.

```
AcTb2Nd12
1.0
6.704 -1.589 0.000
-1.589 6.704 0.000
0.000 0.000 25.406
Nd Tb Ac
24 4 2
direct
0.729 0.771 0.080
0.740 0.240 0.860
0.000 0.000 0.797
0.500 0.500 0.328
0.730 0.230 0.417
0.500 0.500 0.672
0.240 0.740 0.140
0.270 0.770 0.417
0.500 0.500 0.797
0.271 0.229 0.080
0.000 0.000 0.203
0.226 0.274 0.441
0.230 0.730 0.583
0.260 0.760 0.860
0.500 0.500 0.203
0.274 0.226 0.559
0.760 0.260 0.140
0.229 0.271 0.920
0.770 0.270 0.583
0.726 0.774 0.559
0.000 0.000 0.672
0.000 0.000 0.328
0.774 0.726 0.441
0.771 0.729 0.920
0.000 0.500 0.276
0.500 0.000 0.271
0.000 0.500 0.729
0.500 0.000 0.724
0.000 0.500 0.013
0.500 0.000 0.987
```

Crystal system = orthorhombic
DOS at the Fermi energy = 41.7 states/eV per cell
Formation energy from the elements = 156 meV/atom
Electronic total energy = -4.55 eV per atom

***

The following is a DFT calculation (PBE-GGA) of a relaxed structure of Tc2AgIr.

```
Tc2AgIr
1.0
4.863 -0.007 0.002
4.075 2.655 0.002
0.808 0.239 4.701
Ir Tc Ag
1 2 1
direct
0.750 0.750 0.750
0.009 0.009 0.981
0.491 0.491 0.519
0.250 0.250 0.250
```

Crystal system = monoclinic
DOS at the Fermi energy = 4.2 states/eV per cell
Formation energy from the elements = 331 meV/atom
Electronic total energy = -7.78 eV per atom
Energy relative to the lowest polymorph listed for this composition = 192.0 meV per atom

***

The following is a DFT calculation (PBE-GGA) of a relaxed structure of Hf2ReTc.

```
Hf2ReTc
1.0
7.290 0.000 0.000
0.000 7.290 0.000
3.645 3.645 2.821
Hf Re Tc
4 2 2
direct
0.620 0.125 0.250
0.130 0.625 0.250
0.375 0.380 0.750
0.875 0.870 0.750
0.000 0.000 0.000
0.750 0.250 0.500
0.500 0.500 0.000
0.250 0.750 0.500
```

Crystal system = tetragonal
DOS at the Fermi energy = 10.2 states/eV per cell
Formation energy from the elements = 455 meV/atom
Electronic total energy = -10.23 eV per atom
Energy relative to the lowest polymorph listed for this composition = 857.5 meV per atom

***

The following is a DFT calculation (PBE-GGA) of a relaxed structure of KNaEr.

```
KNaEr
1.0
3.840 0.000 0.000
0.000 3.840 0.000
0.000 0.000 17.192
K Na Er
2 2 2
direct
0.500 0.000 0.387
0.000 0.500 0.613
0.000 0.500 0.203
0.500 0.000 0.797
0.000 0.500 0.940
0.500 0.000 0.060
```

Crystal system = tetragonal
DOS at the Fermi energy = 6.6 states/eV per cell
Formation energy from the elements = 161 meV/atom
Electronic total energy = -2.17 eV per atom

***

The following is a DFT calculation (PBE-GGA) of a relaxed structure of Ca3Pm.

```
Ca3Pm
1.0
3.759 0.000 0.000
0.000 6.658 0.000
-1.880 -3.329 6.285
Ca Pm
3 1
direct
0.500 0.503 0.000
0.747 0.077 0.494
0.253 0.584 0.506
0.000 0.003 0.000
```

Crystal system = orthorhombic
DOS at the Fermi energy = 6.7 states/eV per cell
Formation energy from the elements = 89 meV/atom
Electronic total energy = -2.60 eV per atom
Energy relative to the lowest polymorph listed for this composition = 70.9 meV per atom